Entry 1:
## LiZnPPt2 (PBE)

Data for a relaxed structure of LiZnPPt2.

## Properties
* E_form: -107 meV per atom
* crystal system: tetragonal
* uncorrected energy: -21.22 eV/cell
* SG: P4/mmm, No. 123

Unit cell a=4.5727 b=4.4667 c=4.5727 alpha=90.00 beta=90.00 gamma=90.00
Closest atoms and distances in Å follow each position.
Atoms (fractional coordinates):
P (0.0000, 0.0000, 0.0000)  2 Zn 2.23, 4 Pt 2.29
Zn (0.0000, 0.5000, 0.0000)  2 P 2.23
Pt (0.0000, 0.0000, 0.5000)  2 P 2.29
Pt (0.5000, 0.0000, 0.0000)  2 P 2.29
Li (0.5000, 0.5000, 0.5000)  8 Pt 3.20, 4 Zn 3.23

=====

Entry 2:
## LiPuP2 (PBE)

Data for a relaxed structure of LiPuP2.

## Properties
* E_form: -658 meV per atom
* relative energy among the computed polymorphs: 0.0122 eV/atom
* crystal system: tetragonal
* uncorrected energy: -29.70 eV/cell
* SG: P4/mmm, No. 123

Unit cell a=3.7115 b=4.2951 c=4.2951 alpha=90.00 beta=90.00 gamma=90.00
Closest atoms and distances in Å follow each position.
Atoms (fractional coordinates):
P (0.0000, 0.5000, 0.0000)  4 Li 2.84, 4 Pu 2.84, 4 P 3.04
P (0.0000, 0.0000, 0.5000)  4 Li 2.84, 4 Pu 2.84, 4 P 3.04
Li (0.5000, 0.5000, 0.5000)  8 P 2.84, 4 Pu 3.04
Pu (0.5000, 0.0000, 0.0000)  8 P 2.84, 4 Li 3.04

=====

Entry 3:
## LiPuP (PBE)

Data for a relaxed structure of LiPuP.

## Properties
* E_form: -425 meV per atom
* crystal system: orthorhombic
* uncorrected energy: -91.72 eV/cell
* SG: Pnma, No. 62

Unit cell a=3.8774 b=6.5564 c=8.7170 alpha=90.00 beta=90.00 gamma=90.00
Closest atoms and distances in Å follow each position.
Atoms (fractional coordinates):
P (0.7500, 0.7839, 0.8477)  4 Li 2.50-2.68, 4 Pu 2.72-2.76
P (0.7500, 0.7161, 0.3477)  4 Li 2.50-2.68, 4 Pu 2.72-2.76
P (0.2500, 0.2839, 0.6523)  4 Li 2.50-2.68, 4 Pu 2.72-2.76
P (0.2500, 0.2161, 0.1523)  4 Li 2.50-2.68, 4 Pu 2.72-2.76
Pu (0.7500, 0.0000, 0.5819)  2 Pu 2.41
Pu (0.7500, 0.5000, 0.0819)  2 Pu 2.41
Pu (0.2500, 0.0000, 0.4181)  2 Pu 2.41
Pu (0.2500, 0.5000, 0.9181)  2 Pu 2.41
Li (0.2500, 0.0200, 0.8869)  4 P 2.50-2.68, 2 Li 2.78
Li (0.2500, 0.4800, 0.3869)  4 P 2.50-2.68, 2 Li 2.78
Li (0.7500, 0.9800, 0.1131)  4 P 2.50-2.68, 2 Li 2.78
Li (0.7500, 0.5200, 0.6131)  4 P 2.50-2.68, 2 Li 2.78

=====

Entry 4:
## Li3PuP2 (PBE)

Data for a relaxed structure of Li3PuP2.

## Properties
* E_form: -729 meV per atom
* crystal system: monoclinic
* uncorrected energy: -70.53 eV/cell
* SG: C2/m, No. 12

Unit cell a=3.8210 b=7.9648 c=8.4818 alpha=54.97 beta=76.98 gamma=76.12
Closest atoms and distances in Å follow each position.
Atoms (fractional coordinates):
Pu (0.8998, 0.0825, 0.1179)  6 P 2.86-3.04, 1 Pu 2.86
Pu (0.1002, 0.9175, 0.8821)  6 P 2.86-3.04, 1 Pu 2.86
Li (0.6893, 0.5034, 0.1179)  4 P 2.52-2.58, 5 Li 2.69-2.79
Li (0.9269, 0.4895, 0.6567)  3 P 2.50-2.51, 3 Li 2.50-2.69
Li (0.0731, 0.5105, 0.3433)  3 P 2.50-2.51, 3 Li 2.50-2.69
Li (0.6747, 0.1547, 0.4960)  4 P 2.56-2.76, 1 Li 2.79
Li (0.3253, 0.8453, 0.5040)  4 P 2.56-2.76, 1 Li 2.79
Li (0.3107, 0.4966, 0.8821)  4 P 2.52-2.58, 5 Li 2.69-2.79
P (0.2486, 0.2482, 0.2547)  7 Li 2.51-2.63
P (0.4905, 0.2401, 0.7788)  4 Li 2.50-2.76
P (0.5095, 0.7599, 0.2212)  4 Li 2.50-2.76
P (0.7514, 0.7518, 0.7453)  7 Li 2.51-2.63

=====

Entry 5:
## LiPuP2 (PBE)

Data for a relaxed structure of LiPuP2.

## Properties
* E_form: -647 meV per atom
* relative energy among the computed polymorphs: 0.0226 eV/atom
* crystal system: orthorhombic
* uncorrected energy: -29.65 eV/cell
* SG: Amm2, No. 38

Unit cell a=3.6834 b=4.6350 c=4.6350 alpha=106.16 beta=90.00 gamma=90.00
Closest atoms and distances in Å follow each position.
Atoms (fractional coordinates):
P (0.5000, 0.1043, 0.4987)  1 P 2.21, 2 Li 2.32-2.37
P (0.5000, 0.5013, 0.8957)  1 P 2.21, 2 Li 2.32-2.37
Pu (0.0000, 0.0234, 0.9766)  8 P 2.98
Li (0.5000, 0.5861, 0.4139)  4 P 2.32-2.37

=====

Entry 6:
## LiPuP2 (PBE)

Data for a relaxed structure of LiPuP2.

## Properties
* E_form: -639 meV per atom
* relative energy among the computed polymorphs: 0.0309 eV/atom
* crystal system: trigonal
* uncorrected energy: -29.62 eV/cell
* SG: R-3m, No. 166

Unit cell a=4.2797 b=4.2797 c=5.0741 alpha=65.06 beta=65.06 gamma=60.00
Closest atoms and distances in Å follow each position.
Atoms (fractional coordinates):
Li (0.0000, 0.0000, 0.0000)  6 P 2.67
Pu (0.5000, 0.5000, 0.5000)  6 P 2.75
P (0.2581, 0.2581, 0.2256)  3 Li 2.67, 3 Pu 2.75
P (0.7419, 0.7419, 0.7744)  3 Li 2.67, 3 Pu 2.75

=====

Entry 7:
## LiPuP (PBE)

Data for a relaxed structure of LiPuP.

## Properties
* E_form: -679 meV per atom
* crystal system: cubic
* uncorrected energy: -23.69 eV/cell
* SG: F-43m, No. 216

Unit cell a=4.5151 b=4.5151 c=4.5151 alpha=60.00 beta=60.00 gamma=60.00
Closest atoms and distances in Å follow each position.
Atoms (fractional coordinates):
P (0.2500, 0.2500, 0.2500)  4 Li 2.76, 4 Pu 2.76
Pu (0.0000, 0.0000, 0.0000)  4 P 2.76
Li (0.5000, 0.5000, 0.5000)  4 P 2.76

=====

Entry 8:
## Li4PuP2 (PBE)

Data for a relaxed structure of Li4PuP2.

## Properties
* E_form: -699 meV per atom
* crystal system: tetragonal
* uncorrected energy: -75.40 eV/cell
* SG: P4_2/mnm, No. 136

Unit cell a=4.0567 b=7.4524 c=7.4524 alpha=90.00 beta=90.00 gamma=90.00
Closest atoms and distances in Å follow each position.
Atoms (fractional coordinates):
Li (0.0000, 0.0972, 0.3340)  3 P 2.47-2.50, 1 Li 2.50
Li (0.5000, 0.5972, 0.1660)  3 P 2.47-2.50, 1 Li 2.50
Li (0.5000, 0.8340, 0.4028)  3 P 2.47-2.50, 1 Li 2.50
Li (0.0000, 0.6660, 0.9028)  3 P 2.47-2.50, 1 Li 2.50
Li (0.5000, 0.1660, 0.5972)  3 P 2.47-2.50, 1 Li 2.50
Li (0.0000, 0.3340, 0.0972)  3 P 2.47-2.50, 1 Li 2.50
Li (0.5000, 0.4028, 0.8340)  3 P 2.47-2.50, 1 Li 2.50
Li (0.0000, 0.9028, 0.6660)  3 P 2.47-2.50, 1 Li 2.50
Pu (0.0000, 0.5000, 0.5000)  6 P 3.01-3.04, 12 Li 3.25-3.29
Pu (0.5000, 0.0000, 0.0000)  6 P 3.01-3.04, 12 Li 3.25-3.29
P (0.0000, 0.7887, 0.2113)  6 Li 2.47-2.50
P (0.0000, 0.2113, 0.7887)  6 Li 2.47-2.50
P (0.5000, 0.7113, 0.7113)  6 Li 2.47-2.50
P (0.5000, 0.2887, 0.2887)  6 Li 2.47-2.50